Entry 1:
The following is a PBE calculation of a geometry-optimized NaTl9Sb2 structure, from the Alexandria database.

Output
DOS(E_F) in states/eV per atom: 0.44
Space-group type: P4/mmm

Unit cell a=5.211 b=5.211 c=13.412 alpha=90.00 beta=90.00 gamma=90.00
Sites, in units of the cell vectors:
Tl  0.000  0.500  0.834
Tl  0.000  0.500  0.500
Tl  0.500  0.000  0.834
Tl  0.500  0.500  0.332
Tl  0.500  0.000  0.500
Tl  0.500  0.500  0.000
Tl  0.000  0.500  0.166
Tl  0.500  0.000  0.166
Tl  0.500  0.500  0.668
Sb  0.000  0.000  0.679
Sb  0.000  0.000  0.321
Na  0.000  0.000  0.000

---

Entry 2:
The following is a PBE calculation of a geometry-optimized Na4TlSb2 structure, from the Alexandria database.

Output
DOS(E_F) in states/eV per atom: 0.43
Space-group type: I4/mmm

Unit cell a=5.866 b=5.866 c=7.692 alpha=112.41 beta=112.41 gamma=90.00
Sites, in units of the cell vectors:
Tl  0.000  0.000  0.000
Na  0.750  0.250  0.500
Na  0.500  0.000  0.000
Na  0.000  0.500  0.000
Na  0.250  0.750  0.500
Sb  0.615  0.615  0.230
Sb  0.385  0.385  0.770

---

Entry 3:
The following is a PBE calculation of a geometry-optimized Na4TlSb2 structure, from the Alexandria database.

Output
DOS(E_F) in states/eV per atom: 0.66
Space-group type: I4/mmm

Unit cell a=5.814 b=5.814 c=8.631 alpha=70.32 beta=70.32 gamma=90.00
Sites, in units of the cell vectors:
Sb  0.404  0.404  0.192
Sb  0.596  0.596  0.808
Na  0.500  0.000  0.000
Na  0.202  0.202  0.595
Na  0.000  0.500  0.000
Na  0.798  0.798  0.405
Tl  0.000  0.000  0.000

---

Entry 4:
The following is a PBE calculation of a geometry-optimized NaTl4Sb2 structure, from the Alexandria database.

Output
DOS(E_F) in states/eV per atom: 0.17
Space-group type: I4/mmm

Unit cell a=7.465 b=6.662 c=6.662 alpha=71.71 beta=55.93 gamma=55.93
Sites, in units of the cell vectors:
Tl  0.500  0.500  0.000
Tl  0.000  0.500  0.000
Tl  0.000  0.000  0.500
Tl  0.500  0.000  0.500
Sb  0.500  0.500  0.500
Sb  0.000  0.500  0.500
Na  0.000  0.000  0.000

---

Entry 5:
The following is a PBE calculation of a geometry-optimized Na4Tl5Sb2 structure, from the Alexandria database.

Output
DOS(E_F) in states/eV per atom: 0.45
Space-group type: P2/m

Unit cell a=3.349 b=8.622 c=11.070 alpha=93.01 beta=90.00 gamma=90.00
Sites, in units of the cell vectors:
Na  0.500  0.826  0.119
Na  0.500  0.174  0.881
Na  0.500  0.723  0.562
Na  0.500  0.277  0.438
Tl  0.000  0.181  0.148
Tl  0.000  0.500  0.000
Tl  0.000  0.560  0.297
Tl  0.000  0.819  0.852
Tl  0.000  0.440  0.703
Sb  0.000  0.941  0.370
Sb  0.000  0.059  0.630

---

Entry 6:
The following is a PBE calculation of a geometry-optimized NaTlSb3 structure, from the Alexandria database.

Output
DOS(E_F) in states/eV per atom: 0.38
Space-group type: C2/m

Unit cell a=5.500 b=7.019 c=8.431 alpha=99.24 beta=109.04 gamma=90.00
Sites, in units of the cell vectors:
Sb  0.017  0.799  0.034
Sb  0.761  0.915  0.522
Sb  0.239  0.085  0.478
Sb  0.588  0.694  0.176
Sb  0.412  0.306  0.824
Sb  0.983  0.201  0.966
Tl  0.175  0.522  0.350
Tl  0.825  0.478  0.650
Na  0.610  0.192  0.220
Na  0.390  0.808  0.780

---

Which E_form (uncorrected) belongs to each record? In order, -32, -119, 40, 29, -107, -85 meV per atom.